#A
VASP calculation (PBE) on an optimized crystal structure of BaPPdO2.

Cell: 4.489 4.489 4.390 Å, 90.00 90.00 90.00°
Fractional coordinates of all 5 atoms:
Ba 0.000 0.000 0.000
P 0.500 0.500 0.000
Pd 0.500 0.500 0.500
O 0.000 0.500 0.500
O 0.500 0.000 0.500

- SG = P4/mmm (123)

---

#B
VASP calculation (PBE) on an optimized crystal structure of BaPPdO2.

Cell: 4.334 4.334 7.327 Å, 90.00 90.00 90.00°
Fractional coordinates of all 5 atoms:
Ba 0.000 0.000 0.000
P 0.000 0.000 0.500
Pd 0.500 0.500 0.500
O 0.000 0.500 0.000
O 0.500 0.000 0.000

- SG = P4/mmm (123)

---

Q: Which of them is the most stable? A: #A.

---

#A
VASP calculation (PBE) on an optimized crystal structure of RbBaPO4.

Cell: 7.946 5.805 10.253 Å, 90.00 90.00 90.00°
Fractional coordinates of all 28 atoms:
Rb 0.156 0.250 0.084
Rb 0.344 0.750 0.584
Rb 0.656 0.250 0.416
Rb 0.844 0.750 0.916
Ba 0.001 0.750 0.308
Ba 0.499 0.250 0.808
Ba 0.501 0.750 0.192
Ba 0.999 0.250 0.692
P 0.230 0.250 0.414
P 0.270 0.750 0.914
P 0.730 0.250 0.086
P 0.770 0.750 0.586
O 0.033 0.250 0.419
O 0.199 0.750 0.057
O 0.209 0.529 0.842
O 0.209 0.971 0.842
O 0.291 0.029 0.342
O 0.291 0.471 0.342
O 0.301 0.250 0.557
O 0.467 0.750 0.919
O 0.533 0.250 0.081
O 0.699 0.750 0.443
O 0.709 0.529 0.658
O 0.709 0.971 0.658
O 0.791 0.029 0.158
O 0.791 0.471 0.158
O 0.801 0.250 0.943
O 0.967 0.750 0.581

- SG = Pnma (62)

---

#B
VASP calculation (PBE) on an optimized crystal structure of RbBaPO4.

Cell: 6.127 5.773 8.081 Å, 90.00 99.80 90.00°
Fractional coordinates of all 14 atoms:
Rb 0.243 0.250 0.469
Rb 0.757 0.750 0.531
Ba 0.265 0.250 0.962
Ba 0.735 0.750 0.038
P 0.276 0.750 0.199
P 0.724 0.250 0.801
O 0.091 0.750 0.309
O 0.167 0.750 0.007
O 0.428 0.532 0.230
O 0.428 0.968 0.230
O 0.572 0.032 0.770
O 0.572 0.468 0.770
O 0.833 0.250 0.993
O 0.909 0.250 0.691

- SG = P2_1/m (11)

---

Q: Which of them is the most stable? A: #A.

---

#A
VASP calculation (PBE) on an optimized crystal structure of BaP2RhO.

Cell: 5.492 5.492 4.223 Å, 90.00 90.00 90.00°
Fractional coordinates of all 5 atoms:
Ba 0.000 0.000 0.000
P 0.000 0.500 0.000
P 0.500 0.000 0.000
Rh 0.500 0.500 0.500
O 0.000 0.000 0.500

- SG = P4/mmm (123)

---

#B
VASP calculation (PBE) on an optimized crystal structure of BaP2RhO.

Cell: 4.466 4.466 5.180 Å, 90.00 90.00 90.00°
Fractional coordinates of all 5 atoms:
Ba 0.000 0.000 0.000
P 0.000 0.500 0.500
P 0.500 0.000 0.500
Rh 0.500 0.500 0.500
O 0.500 0.500 0.000

- SG = P4/mmm (123)

---

Q: Which of them is the most stable? A: #B.

---

#A
VASP calculation (PBE) on an optimized crystal structure of BaPRuO2.

Cell: 4.288 4.288 6.924 Å, 90.00 90.00 90.00°
Fractional coordinates of all 5 atoms:
Ba 0.000 0.000 0.000
P 0.000 0.000 0.500
Ru 0.500 0.500 0.500
O 0.000 0.500 0.000
O 0.500 0.000 0.000

- SG = P4/mmm (123)

---

#B
VASP calculation (PBE) on an optimized crystal structure of BaPRuO2.

Cell: 4.294 4.294 4.486 Å, 90.00 90.00 90.00°
Fractional coordinates of all 5 atoms:
Ba 0.000 0.000 0.000
P 0.500 0.500 0.000
Ru 0.500 0.500 0.500
O 0.000 0.500 0.500
O 0.500 0.000 0.500

- SG = P4/mmm (123)

---

Q: Which of them is the most stable? A: #B.

---

#A
VASP calculation (PBE) on an optimized crystal structure of BaPS2O.

Cell: 5.290 5.290 3.711 Å, 90.00 90.00 90.00°
Fractional coordinates of all 5 atoms:
Ba 0.000 0.000 0.000
P 0.500 0.500 0.000
S 0.000 0.500 0.500
S 0.500 0.000 0.500
O 0.500 0.500 0.500

- SG = P4/mmm (123)

---

#B
VASP calculation (PBE) on an optimized crystal structure of BaPS2O.

Cell: 6.217 6.217 6.481 Å, 90.00 90.00 90.00°
Fractional coordinates of all 5 atoms:
Ba 0.000 0.000 0.000
P 0.000 0.000 0.500
S 0.000 0.500 0.000
S 0.500 0.000 0.000
O 0.500 0.500 0.500

- SG = P4/mmm (123)

---

Q: Which of them is the most stable? A: #A.

---

#A
VASP calculation (PBE) on an optimized crystal structure of BaP2SO.

Cell: 4.584 4.584 4.748 Å, 90.00 90.00 90.00°
Fractional coordinates of all 5 atoms:
Ba 0.000 0.000 0.000
P 0.000 0.500 0.500
P 0.500 0.000 0.500
S 0.500 0.500 0.500
O 0.500 0.500 0.000

- SG = P4/mmm (123)

---

#B
VASP calculation (PBE) on an optimized crystal structure of BaP2SO.

Cell: 6.561 6.561 6.074 Å, 90.00 90.00 90.00°
Fractional coordinates of all 5 atoms:
Ba 0.000 0.000 0.000
P 0.000 0.500 0.000
P 0.500 0.000 0.000
S 0.000 0.000 0.500
O 0.500 0.500 0.500

- SG = P4/mmm (123)

---

Q: Which of them is the most stable? A: #A.

---

#A
VASP calculation (PBE) on an optimized crystal structure of BaP2SO.

Cell: 6.276 6.276 4.445 Å, 90.00 90.00 90.00°
Fractional coordinates of all 5 atoms:
Ba 0.000 0.000 0.000
P 0.000 0.500 0.000
P 0.500 0.000 0.000
S 0.500 0.500 0.500
O 0.000 0.000 0.500

- SG = P4/mmm (123)

---

#B
VASP calculation (PBE) on an optimized crystal structure of BaP2SO.

Cell: 4.131 4.131 6.748 Å, 90.00 90.00 90.00°
Fractional coordinates of all 5 atoms:
Ba 0.000 0.000 0.000
P 0.000 0.500 0.500
P 0.500 0.000 0.500
S 0.500 0.500 0.000
O 0.500 0.500 0.500

- SG = P4/mmm (123)

---

Q: Which of them is the most stable? A: #B.

---

#A
VASP calculation (PBE) on an optimized crystal structure of BaScPO2.

Cell: 4.341 4.341 6.319 Å, 90.00 90.00 90.00°
Fractional coordinates of all 5 atoms:
Ba 0.000 0.000 0.000
Sc 0.500 0.500 0.500
P 0.000 0.000 0.500
O 0.000 0.500 0.000
O 0.500 0.000 0.000

- SG = P4/mmm (123)

---

#B
VASP calculation (PBE) on an optimized crystal structure of BaScPO2.

Cell: 4.304 4.304 5.117 Å, 90.00 90.00 90.00°
Fractional coordinates of all 5 atoms:
Ba 0.000 0.000 0.000
Sc 0.500 0.500 0.500
P 0.500 0.500 0.000
O 0.000 0.500 0.500
O 0.500 0.000 0.500

- SG = P4/mmm (123)

---

Q: Which of them is the most stable? A: #B.